Entry 1:
This record from Alexandria via LeMat-Bulk describes Tb12YHo6 after structural relaxation. The functional is GGA-PBE.

Values from the calculation:
**Formation energy from the elements**: 0.44 eV per atom
**Excess energy over the best structure of this formula in the dataset**: 289 meV per atom
**Density**: 7.57 g/cm³
**Uncorrected energy**: -4.267 eV per atom
**Magnetization**: 0.0 μB per cell

Cell: 9.3402 9.3402 9.3402 Å, 108.21 108.21 108.21°
Atoms (fractional coordinates):
Tb 0.8473 0.6336 0.6336
Tb 0.3664 0.3664 0.1527
Tb 0.6336 0.6336 0.8473
Tb 0.6336 0.8473 0.6336
Tb 0.5000 0.8899 0.1101
Tb 0.3664 0.1527 0.3664
Tb 0.1101 0.5000 0.8899
Tb 0.8899 0.1101 0.5000
Tb 0.1101 0.8899 0.5000
Tb 0.8899 0.5000 0.1101
Tb 0.5000 0.1101 0.8899
Tb 0.1527 0.3664 0.3664
Ho 0.6816 0.2572 0.6816
Ho 0.3184 0.3184 0.7428
Ho 0.3184 0.7428 0.3184
Ho 0.7428 0.3184 0.3184
Ho 0.2572 0.6816 0.6816
Ho 0.6816 0.6816 0.2572
Y 0.0000 0.0000 0.0000

Entry 2:
This record from Alexandria via LeMat-Bulk describes BaSc2Ru after structural relaxation. The functional is GGA-PBE.

Values from the calculation:
**Formation energy from the elements**: 0.40 eV per atom
**Excess energy over the best structure of this formula in the dataset**: 570 meV per atom
**Density**: 3.40 g/cm³
**Uncorrected energy**: -5.564 eV per atom
**Magnetization**: 0.0 μB per cell

Cell: 7.4323 7.4323 7.8274 Å, 61.66 61.66 90.00°
Atoms (fractional coordinates):
Ba 0.0000 0.0000 0.0000
Ba 0.7500 0.2500 0.5000
Sc 0.3750 0.6250 0.7500
Sc 0.8750 0.6250 0.7500
Sc 0.3750 0.1250 0.2500
Sc 0.3750 0.6250 0.2500
Ru 0.2500 0.7500 0.5000
Ru 0.5000 0.5000 0.0000

Entry 3:
This record from Alexandria via LeMat-Bulk describes CaAlAu2 after structural relaxation. The functional is GGA-PBE.

Values from the calculation:
**Formation energy from the elements**: -0.56 eV per atom
**Density**: 9.61 g/cm³
**Uncorrected energy**: -3.630 eV per atom
**Magnetization**: 0.0 μB per cell

Cell: 3.2517 3.3786 7.9967 Å, 65.00 90.00 90.00°
Atoms (fractional coordinates):
Al 0.5000 0.7500 0.7500
Au 0.0000 0.0436 0.9572
Au 0.0000 0.4564 0.5428
Ca 0.5000 0.2500 0.2500

Entry 4:
This record from Alexandria via LeMat-Bulk describes KBaHf2 after structural relaxation. The functional is GGA-PBE.

Values from the calculation:
**Formation energy from the elements**: 1.19 eV per atom
**Excess energy over the best structure of this formula in the dataset**: 0 meV per atom
**Density**: 6.97 g/cm³
**Uncorrected energy**: -4.544 eV per atom
**Magnetization**: 0.0 μB per cell

Cell: 4.4416 4.4416 13.2539 Å, 80.35 80.35 90.00°
Atoms (fractional coordinates):
K 0.5000 0.5000 0.0000
K 0.2500 0.7500 0.5000
Hf 0.8750 0.8763 0.7500
Hf 0.3750 0.3737 0.7500
Hf 0.1237 0.6250 0.2500
Hf 0.6263 0.1250 0.2500
Ba 0.7500 0.2500 0.5000
Ba 0.0000 0.0000 0.0000